Record 1
Material: Dy2Pu2Rh15
Method: DFT, GGA-PBE
State: optimized geometry

## Properties
As for the crystal system: trigonal. As for the formation energy: -5.31 eV per formula unit. As for the density: 12.1 Mg/m³. For the uncorrected energy, the calculation gives -8.076 eV per atom.

Cell: 9.1258 9.1258 13.4513 Å, 90.00 90.00 120.00°
Space group R-3m (No. 166, hexagonal axes)
Inequivalent atoms, fractional coordinates:
Dy (0.0000, 0.0000, 0.1102)
Pu (0.0000, 0.0000, 0.3610)
Rh (0.0000, 0.3113, 0.0000)
Rh (0.0000, 0.5000, 0.5000)
Rh (0.0107, 0.5053, 0.1549)



Record 2
Material: DyPu3Rh4
Method: DFT, GGA-PBE
State: optimized geometry

## Properties
As for the crystal system: monoclinic. As for the formation energy: -4.18 eV per formula unit. As for the density: 13.5 Mg/m³. For the uncorrected energy, the calculation gives -10.148 eV per atom.

Cell: 8.371 4.840 8.402 Å, 90.00 109.23 90.00°
Space group C2/m (No. 12)
Inequivalent atoms, fractional coordinates:
Dy (0.000, 0.000, 0.000)
Pu (0.000, 0.500, 0.500)
Pu (0.250, 0.000, 0.750)
Rh (0.125, 0.000, 0.376)
Rh (0.125, 0.500, 0.876)



Record 3
Material: DyPuRuRh
Method: DFT, GGA-PBE
State: optimized geometry

## Properties
As for the crystal system: cubic. As for the formation energy: -1.74 eV per formula unit. As for the density: 12.8 Mg/m³. For the uncorrected energy, the calculation gives -9.325 eV per atom.

Cell: 6.810 6.810 6.810 Å, 90.00 90.00 90.00°
Space group F-43m (No. 216)
Inequivalent atoms, fractional coordinates:
Dy (0.000, 0.000, 0.000)
Pu (0.000, 0.000, 0.500)
Ru (0.250, 0.250, 0.250)
Rh (0.250, 0.250, 0.750)



Record 4
Material: DyPuTcRh
Method: DFT, GGA-PBE
State: optimized geometry

## Properties
As for the crystal system: cubic. As for the formation energy: -1.11 eV per formula unit. As for the density: 12.8 Mg/m³. For the uncorrected energy, the calculation gives -9.441 eV per atom.

Cell: 6.805 6.805 6.805 Å, 90.00 90.00 90.00°
Space group F-43m (No. 216)
Inequivalent atoms, fractional coordinates:
Dy (0.000, 0.000, 0.000)
Pu (0.000, 0.000, 0.500)
Tc (0.250, 0.250, 0.250)
Rh (0.250, 0.250, 0.750)



Record 5
Material: DyPuTlRh
Method: DFT, GGA-PBE
State: optimized geometry

## Properties
As for the crystal system: tetragonal. The calculation puts the polymorph energy (0 for the lowest one) at 0 meV/atom. As for the formation energy: -1.65 eV per formula unit. As for the density: 12.3 Mg/m³. For the uncorrected energy, the calculation gives -7.576 eV per atom.

Cell: 3.395 3.395 8.330 Å, 90.00 90.00 90.00°
Space group P4mm (No. 99)
Inequivalent atoms, fractional coordinates:
Dy (0.000, 0.000, 0.000)
Pu (0.000, 0.000, 0.587)
Tl (0.500, 0.500, 0.293)
Rh (0.500, 0.500, 0.803)



Record 6
Material: DyPuTlRh
Method: DFT, GGA-PBE
State: optimized geometry

## Properties
As for the crystal system: cubic. The calculation puts the polymorph energy (0 for the lowest one) at 174 meV/atom. As for the formation energy: -0.96 eV per formula unit. As for the density: 12.4 Mg/m³. For the uncorrected energy, the calculation gives -7.403 eV per atom.

Cell: 7.258 7.258 7.258 Å, 90.00 90.00 90.00°
Space group F-43m (No. 216)
Inequivalent atoms, fractional coordinates:
Dy (0.000, 0.000, 0.000)
Pu (0.000, 0.000, 0.500)
Tl (0.250, 0.250, 0.750)
Rh (0.250, 0.250, 0.250)



Record 7
Material: Dy2PuZn2Rh5
Method: DFT, GGA-PBE
State: optimized geometry

## Properties
As for the crystal system: tetragonal. As for the formation energy: -6.32 eV per formula unit. As for the density: 11.4 Mg/m³. For the uncorrected energy, the calculation gives -6.916 eV per atom.

Cell: 9.762 9.762 3.716 Å, 90.00 90.00 90.00°
Space group P4/mbm (No. 127)
Inequivalent atoms, fractional coordinates:
Dy (0.170, 0.330, 0.000)
Pu (0.000, 0.000, 0.000)
Zn (0.124, 0.624, 0.000)
Rh (0.000, 0.500, 0.500)
Rh (0.070, 0.795, 0.500)



Record 8
Material: Dy5Pu2Ru4
Method: DFT, GGA-PBE
State: optimized geometry

## Properties
As for the crystal system: monoclinic. As for the formation energy: -0.25 eV per formula unit. As for the density: 10.5 Mg/m³. For the uncorrected energy, the calculation gives -8.093 eV per atom.

Cell: 21.168 3.323 7.676 Å, 90.00 90.63 90.00°
Space group C2/m (No. 12)
Inequivalent atoms, fractional coordinates:
Dy (0.000, 0.000, 0.000)
Dy (0.159, 0.500, 0.899)
Dy (0.218, 0.500, 0.333)
Pu (0.068, 0.500, 0.381)
Ru (0.045, 0.500, 0.719)
Ru (0.152, 0.000, 0.591)



Record 9
Material: DyPu3Ru4
Method: DFT, GGA-PBE
State: optimized geometry

## Properties
As for the crystal system: orthorhombic. As for the formation energy: -1.60 eV per formula unit. As for the density: 13.9 Mg/m³. For the uncorrected energy, the calculation gives -10.787 eV per atom.

Cell: 3.365 4.846 9.523 Å, 90.00 90.00 90.00°
Space group Pmmm (No. 47)
Inequivalent atoms, fractional coordinates:
Dy (0.000, 0.000, 0.000)
Pu (0.000, 0.000, 0.500)
Pu (0.000, 0.500, 0.248)
Ru (0.500, 0.000, 0.262)
Ru (0.500, 0.500, 0.000)
Ru (0.500, 0.500, 0.500)



Record 10
Material: Dy3PuRu8
Method: DFT, GGA-PBE
State: optimized geometry

## Properties
As for the crystal system: trigonal. As for the formation energy: -2.97 eV per formula unit. As for the density: 11.9 Mg/m³. For the uncorrected energy, the calculation gives -8.776 eV per atom.

Cell: 5.3258 5.3258 26.1770 Å, 90.00 90.00 120.00°
Space group R3m (No. 160, hexagonal axes)
Inequivalent atoms, fractional coordinates:
Dy (0.0000, 0.0000, 0.0000)
Dy (0.0000, 0.0000, 0.1248)
Dy (0.0000, 0.0000, 0.6248)
Pu (0.0000, 0.0000, 0.5000)
Ru (0.0000, 0.0000, 0.3131)
Ru (0.0000, 0.0000, 0.8133)
Ru (0.0003, 0.5002, 0.0630)
Ru (0.1676, 0.3351, 0.8955)



Record 11
Material: DyPu3Ru2
Method: DFT, GGA-PBE
State: optimized geometry

## Properties
As for the crystal system: orthorhombic. As for the formation energy: -0.51 eV per formula unit. As for the density: 13.8 Mg/m³. For the uncorrected energy, the calculation gives -11.110 eV per atom.

Cell: 4.165 9.013 7.028 Å, 90.00 90.00 90.00°
Space group Pmc2_1 (No. 26)
Inequivalent atoms, fractional coordinates:
Dy (0.000, 0.061, 0.000)
Pu (0.000, 0.323, 0.684)
Pu (0.500, 0.212, 0.337)
Pu (0.500, 0.431, 0.925)
Ru (0.000, 0.363, 0.180)
Ru (0.500, 0.116, 0.703)



Record 12
Material: Dy5Pu2Ru5
Method: DFT, GGA-PBE
State: optimized geometry

## Properties
As for the crystal system: monoclinic. As for the formation energy: -2.29 eV per formula unit. As for the density: 11.3 Mg/m³. For the uncorrected energy, the calculation gives -8.362 eV per atom.

Cell: 9.352 4.733 12.327 Å, 90.00 104.05 90.00°
Space group C2/m (No. 12)
Inequivalent atoms, fractional coordinates:
Dy (0.000, 0.000, 0.000)
Dy (0.175, 0.000, 0.555)
Dy (0.241, 0.500, 0.154)
Pu (0.005, 0.500, 0.714)
Ru (0.000, 0.500, 0.500)
Ru (0.130, 0.500, 0.923)
Ru (0.218, 0.000, 0.301)



Record 13
Material: Dy3Pu4Ru4
Method: DFT, GGA-PBE
State: optimized geometry

## Properties
As for the crystal system: orthorhombic. As for the formation energy: -0.39 eV per formula unit. As for the density: 14.1 Mg/m³. For the uncorrected energy, the calculation gives -9.875 eV per atom.

Cell: 3.292 10.004 13.317 Å, 90.00 90.00 90.00°
Space group Immm (No. 71)
Inequivalent atoms, fractional coordinates:
Dy (0.000, 0.000, 0.000)
Dy (0.000, 0.500, 0.113)
Pu (0.000, 0.280, 0.310)
Ru (0.000, 0.000, 0.209)
Ru (0.000, 0.225, 0.500)



Record 14
Material: Dy3PuRu2
Method: DFT, GGA-PBE
State: optimized geometry

## Properties
As for the crystal system: monoclinic. As for the formation energy: -0.92 eV per formula unit. As for the density: 9.9 Mg/m³. For the uncorrected energy, the calculation gives -7.935 eV per atom.

Cell: 16.200 4.093 10.650 Å, 90.00 116.98 90.00°
Space group C2/m (No. 12)
Inequivalent atoms, fractional coordinates:
Dy (0.053, 0.000, 0.200)
Dy (0.167, 0.500, 0.026)
Dy (0.204, 0.000, 0.594)
Pu (0.055, 0.500, 0.654)
Ru (0.118, 0.500, 0.395)
Ru (0.135, 0.000, 0.825)



Record 15
Material: Dy5PuRu6
Method: DFT, GGA-PBE
State: optimized geometry

## Properties
As for the crystal system: monoclinic. As for the formation energy: -3.86 eV per formula unit. As for the density: 11.8 Mg/m³. For the uncorrected energy, the calculation gives -8.071 eV per atom.

Cell: 4.793 6.801 7.581 Å, 90.00 108.38 90.00°
Space group P2/m (No. 10)
Inequivalent atoms, fractional coordinates:
Dy (0.000, 0.000, 0.000)
Dy (0.331, 0.500, 0.662)
Dy (0.333, 0.000, 0.666)
Pu (0.000, 0.500, 0.000)
Ru (0.160, 0.258, 0.319)
Ru (0.500, 0.265, 0.000)



Record 16
Material: Dy2PuRu3
Method: DFT, GGA-PBE
State: optimized geometry

## Properties
As for the crystal system: monoclinic. The calculation puts the polymorph energy (0 for the lowest one) at 0 meV/atom. As for the formation energy: -1.78 eV per formula unit. As for the density: 12.4 Mg/m³. For the uncorrected energy, the calculation gives -8.857 eV per atom.

Cell: 4.783 6.818 7.571 Å, 90.00 108.35 90.00°
Space group P2/m (No. 10)
Inequivalent atoms, fractional coordinates:
Dy (0.000, 0.000, 0.000)
Dy (0.000, 0.500, 0.000)
Dy (0.334, 0.000, 0.668)
Pu (0.335, 0.500, 0.671)
Ru (0.172, 0.268, 0.343)
Ru (0.500, 0.260, 0.000)



Record 17
Material: Dy4PuRu5
Method: DFT, GGA-PBE
State: optimized geometry

## Properties
As for the crystal system: tetragonal. As for the formation energy: -1.98 eV per formula unit. As for the density: 12.0 Mg/m³. For the uncorrected energy, the calculation gives -8.110 eV per atom.

Cell: 3.362 3.362 17.105 Å, 90.00 90.00 90.00°
Space group P4/mmm (No. 123)
Inequivalent atoms, fractional coordinates:
Dy (0.000, 0.000, 0.099)
Dy (0.000, 0.000, 0.298)
Pu (0.000, 0.000, 0.500)
Ru (0.500, 0.500, 0.000)
Ru (0.500, 0.500, 0.202)
Ru (0.500, 0.500, 0.414)



Record 18
Material: Dy2PuRu3
Method: DFT, GGA-PBE
State: optimized geometry

## Properties
As for the crystal system: orthorhombic. The calculation puts the polymorph energy (0 for the lowest one) at 352 meV/atom. As for the formation energy: 0.34 eV per formula unit. As for the density: 11.6 Mg/m³. For the uncorrected energy, the calculation gives -8.505 eV per atom.

Cell: 3.293 5.554 13.698 Å, 90.00 90.00 90.00°
Space group Immm (No. 71)
Inequivalent atoms, fractional coordinates:
Dy (0.000, 0.000, 0.168)
Pu (0.000, 0.000, 0.500)
Ru (0.000, 0.500, 0.150)
Ru (0.000, 0.500, 0.500)



Record 19
Material: DyPuTcRu
Method: DFT, GGA-PBE
State: optimized geometry

## Properties
As for the crystal system: cubic. As for the formation energy: -0.43 eV per formula unit. As for the density: 13.0 Mg/m³. For the uncorrected energy, the calculation gives -9.752 eV per atom.

Cell: 6.768 6.768 6.768 Å, 90.00 90.00 90.00°
Space group F-43m (No. 216)
Inequivalent atoms, fractional coordinates:
Dy (0.000, 0.000, 0.000)
Pu (0.000, 0.000, 0.500)
Tc (0.250, 0.250, 0.750)
Ru (0.250, 0.250, 0.250)



Record 20
Material: DyPuZnRu
Method: DFT, GGA-PBE
State: optimized geometry

## Properties
As for the crystal system: cubic. As for the formation energy: -0.72 eV per formula unit. As for the density: 11.4 Mg/m³. For the uncorrected energy, the calculation gives -7.550 eV per atom.

Cell: 6.941 6.941 6.941 Å, 90.00 90.00 90.00°
Space group F-43m (No. 216)
Inequivalent atoms, fractional coordinates:
Dy (0.000, 0.000, 0.000)
Pu (0.000, 0.000, 0.500)
Zn (0.250, 0.250, 0.250)
Ru (0.250, 0.250, 0.750)